A relaxed NpTl2Br3O3 crystal, computed with PBE.

Summary:
Formation energy from raw total energies, meV/atom: -1267
Symmetry: P-62m (189)
VASP energy, eV for the cell shown: -48.97

a b c (Å): 3.204 9.298 9.298
angles (deg): 120.00 90.00 90.00
Atoms (fractional coordinates):
Np 0.000 0.000 0.000
Tl 0.500 0.333 0.667
Tl 0.500 0.667 0.333
Br 0.000 0.000 0.380
Br 0.000 0.620 0.620
Br 0.000 0.380 0.000
O 0.500 0.849 0.000
O 0.500 0.151 0.151
O 0.500 0.000 0.849

A relaxed SmDy2YSc crystal, computed with PBE.

Summary:
Energy of formation, meV/atom: 354
Symmetry: Cmcm (63)
VASP energy, eV for the cell shown: -49.90

a b c (Å): 6.354 6.351 8.562
angles (deg): 111.77 90.00 90.00
Atoms (fractional coordinates):
Sm 0.250 0.661 0.322
Sm 0.750 0.339 0.678
Dy 0.500 0.248 0.000
Dy 0.000 0.752 0.000
Dy 0.500 0.752 0.000
Dy 0.000 0.248 0.000
Y 0.750 0.750 0.501
Y 0.250 0.250 0.499
Sc 0.250 0.846 0.692
Sc 0.750 0.154 0.308

A relaxed Gd2BeNi crystal, computed with PBE.

Summary:
Energy of formation, meV/atom: -111
Symmetry: P4/mmm (123)
VASP energy, eV for the cell shown: -38.11
Energy relative to the lowest polymorph listed for this composition, eV per atom: 0.0000

a b c (Å): 3.447 3.447 6.759
angles (deg): 90.00 90.00 90.00
Atoms (fractional coordinates):
Ni 0.500 0.500 0.000
Gd 0.000 0.000 0.752
Gd 0.000 0.000 0.248
Be 0.500 0.500 0.500

A relaxed Y2Cd6Ag crystal, computed with PBE.

Summary:
Energy of formation, meV/atom: -195
Symmetry: C2/m (12)
VASP energy, eV for the cell shown: -23.02

a b c (Å): 3.312 8.603 8.603
angles (deg): 60.00 89.94 89.94
Atoms (fractional coordinates):
Y 0.000 0.333 0.333
Y 0.000 0.667 0.667
Cd 0.499 0.673 0.000
Cd 0.501 0.000 0.327
Cd 0.501 0.327 0.000
Cd 0.500 0.673 0.327
Cd 0.499 0.000 0.673
Cd 0.500 0.327 0.673
Ag 0.000 0.000 0.000

Number 1: magnetization 0.08 μB per atom. Number 2: magnetization 0.00 μB per atom. Number 3: magnetization 3.59 μB per atom. Number 4: magnetization 0.00 μB per atom.